Crystalline CaZr2TcP at its relaxed geometry. Source: Alexandria, functional GGA-PBE.

abc: 4.9298 4.9298 4.7203
angles: 90.00 90.00 90.00
Fractional coordinates of all 5 atoms:
Ca 0.0000 0.0000 0.0000
Zr 0.0000 0.5000 0.0000
Zr 0.5000 0.0000 0.0000
Tc 0.5000 0.5000 0.5000
P 0.0000 0.0000 0.5000

Computed properties:
Energy of formation from the pure elements: 1903.5 meV per atom
Total moment: 0.0 μB/cell
Uncorrected energy: -5.071 eV per atom

=====

Crystalline CaBe3Te at its relaxed geometry. Source: Alexandria, functional GGA-PBE.

abc: 4.8277 4.8277 4.8277
angles: 90.00 90.00 90.00
Fractional coordinates of all 5 atoms:
Ca 0.0000 0.0000 0.0000
Be 0.0000 0.5000 0.5000
Be 0.5000 0.0000 0.5000
Be 0.5000 0.5000 0.0000
Te 0.5000 0.5000 0.5000

Computed properties:
E_form (uncorrected): 974 meV/atom
Offset from the most stable computed form: 0 meV per atom
Total moment: 0.0 μB/cell
Uncorrected energy: -2.290 eV per atom

=====

Crystalline K2CdRe at its relaxed geometry. Source: Alexandria, functional GGA-PBE.

abc: 6.5410 6.5410 2.8286
angles: 90.80 90.80 124.44
Fractional coordinates of all 4 atoms:
K 0.0000 0.5000 0.0000
K 0.5000 0.0000 0.0000
Cd 0.0000 0.0000 0.5000
Re 0.5000 0.5000 0.5000

Computed properties:
Energy of formation from the pure elements: 1172.5 meV per atom
Total moment: 0.5 μB/cell
Uncorrected energy: -2.717 eV per atom

=====

Crystalline LiTiPd2 at its relaxed geometry. Source: Alexandria, functional GGA-PBE.

abc: 3.0751 3.0751 6.2165
angles: 90.00 90.00 90.00
Fractional coordinates of all 4 atoms:
Li 0.0000 0.0000 0.0000
Ti 0.0000 0.0000 0.5000
Pd 0.5000 0.5000 0.2424
Pd 0.5000 0.5000 0.7576

Computed properties:
Energy of formation from the pure elements: -549.0 meV per atom
Total moment: 0.0 μB/cell
Uncorrected energy: -5.598 eV per atom

=====

Crystalline Mn2SbAu at its relaxed geometry. Source: Alexandria, functional GGA-PBE.

abc: 7.1529 7.1529 7.1529
angles: 29.53 29.53 29.53
Fractional coordinates of all 4 atoms:
Mn 0.2468 0.2468 0.2468
Mn 0.7532 0.7532 0.7532
Sb 0.0000 0.0000 0.0000
Au 0.5000 0.5000 0.5000

Computed properties:
E_form (uncorrected): 241 meV/atom
Total moment: 7.3 μB/cell
Uncorrected energy: -6.194 eV per atom

=====

Crystalline Ce3SnAs4 at its relaxed geometry. Source: Alexandria, functional GGA-PBE.

abc: 5.9799 5.9799 5.9799
angles: 90.00 90.00 90.00
Fractional coordinates of all 8 atoms:
Ce 0.0000 0.0000 0.5000
Ce 0.0000 0.5000 0.0000
Ce 0.5000 0.0000 0.0000
Sn 0.5000 0.5000 0.5000
As 0.0000 0.0000 0.0000
As 0.0000 0.5000 0.5000
As 0.5000 0.0000 0.5000
As 0.5000 0.5000 0.0000

Computed properties:
Energy of formation from the pure elements: -1027.4 meV per atom
Total moment: 1.8 μB/cell
Uncorrected energy: -6.078 eV per atom

=====

Crystalline Nd2TlIn2 at its relaxed geometry. Source: Alexandria, functional GGA-PBE.

abc: 7.8316 7.8316 4.7946
angles: 90.00 90.00 90.00
Fractional coordinates of all 10 atoms:
Nd 0.1691 0.3309 0.0000
Nd 0.3309 0.8309 0.0000
Nd 0.6691 0.1691 0.0000
Nd 0.8309 0.6691 0.0000
Tl 0.0000 0.0000 0.5000
Tl 0.5000 0.5000 0.5000
In 0.1318 0.6318 0.5000
In 0.3682 0.1318 0.5000
In 0.6318 0.8682 0.5000
In 0.8682 0.3682 0.5000

Computed properties:
Energy of formation from the pure elements: -400.0 meV per atom
Total moment: 0.0 μB/cell
Uncorrected energy: -3.876 eV per atom

=====

Crystalline Ac2La4Bi3N2 at its relaxed geometry. Source: Alexandria, functional GGA-PBE.

abc: 14.3162 14.3162 14.3162
angles: 159.99 159.99 28.44
Fractional coordinates of all 11 atoms:
Ac 0.1923 0.1923 0.0000
Ac 0.8077 0.8077 0.0000
La 0.0824 0.5824 0.5000
La 0.4176 0.9176 0.5000
La 0.5824 0.0824 0.5000
La 0.9176 0.4176 0.5000
Bi 0.3238 0.3238 0.0000
Bi 0.5000 0.5000 0.0000
Bi 0.6762 0.6762 0.0000
N 0.1032 0.1032 0.0000
N 0.8968 0.8968 0.0000

Computed properties:
E_form (uncorrected): -1082 meV/atom
Total moment: 0.0 μB/cell
Uncorrected energy: -6.193 eV per atom

=====

Crystalline YTiFeBr2 at its relaxed geometry. Source: Alexandria, functional GGA-PBE.

abc: 4.8888 4.8888 4.5175
angles: 90.00 90.00 90.00
Fractional coordinates of all 5 atoms:
Y 0.0000 0.0000 0.0000
Ti 0.5000 0.5000 0.0000
Fe 0.5000 0.5000 0.5000
Br 0.0000 0.5000 0.5000
Br 0.5000 0.0000 0.5000

Computed properties:
E_form (uncorrected): 280 meV/atom
Total moment: 0.0 μB/cell
Uncorrected energy: -4.953 eV per atom

=====

Crystalline TaSi3Bi at its relaxed geometry. Source: Alexandria, functional GGA-PBE.

abc: 4.9404 4.9404 4.9404
angles: 90.00 90.00 90.00
Fractional coordinates of all 5 atoms:
Ta 0.0000 0.0000 0.0000
Si 0.0000 0.0000 0.5000
Si 0.0000 0.5000 0.0000
Si 0.5000 0.0000 0.0000
Bi 0.5000 0.5000 0.5000

Computed properties:
E_form (uncorrected): 700 meV/atom
Offset from the most stable computed form: 0 meV per atom
Total moment: 0.0 μB/cell
Uncorrected energy: -5.700 eV per atom

=====

Crystalline Np2Ga9Ag at its relaxed geometry. Source: Alexandria, functional GGA-PBE.

abc: 4.2568 4.2568 12.5233
angles: 90.00 90.00 90.00
Fractional coordinates of all 12 atoms:
Np 0.0000 0.0000 0.1744
Np 0.0000 0.0000 0.8256
Ga 0.0000 0.5000 0.0000
Ga 0.0000 0.5000 0.3447
Ga 0.0000 0.5000 0.6553
Ga 0.5000 0.0000 0.0000
Ga 0.5000 0.0000 0.3447
Ga 0.5000 0.0000 0.6553
Ga 0.5000 0.5000 0.1613
Ga 0.5000 0.5000 0.5000
Ga 0.5000 0.5000 0.8387
Ag 0.0000 0.0000 0.5000

Computed properties:
Energy of formation from the pure elements: -105.5 meV per atom
Total moment: 8.0 μB/cell
Uncorrected energy: -4.770 eV per atom

=====

Crystalline ZrTe2Pt at its relaxed geometry. Source: Alexandria, functional GGA-PBE.

abc: 5.0385 5.0385 5.0385
angles: 60.00 60.00 60.00
Fractional coordinates of all 4 atoms:
Zr 0.0000 0.0000 0.0000
Te 0.5000 0.5000 0.5000
Te 0.7500 0.7500 0.7500
Pt 0.2500 0.2500 0.2500

Computed properties:
E_form (uncorrected): -104 meV/atom
Offset from the most stable computed form: 559 meV per atom
Total moment: 0.0 μB/cell
Uncorrected energy: -5.322 eV per atom

=====

Crystalline Pm4Dy7Tm at its relaxed geometry. Source: Alexandria, functional GGA-PBE.

abc: 6.7246 6.7246 12.7712
angles: 114.99 114.99 52.19
Fractional coordinates of all 12 atoms:
Pm 0.0546 0.0546 0.3350
Pm 0.3645 0.3645 0.2228
Pm 0.6355 0.6355 0.7772
Pm 0.9454 0.9454 0.6650
Dy 0.0000 0.0000 0.0000
Dy 0.2122 0.2122 0.9238
Dy 0.2614 0.2614 0.6913
Dy 0.3628 0.3628 0.4943
Dy 0.6372 0.6372 0.5057
Dy 0.7386 0.7386 0.3087
Dy 0.7878 0.7878 0.0762
Tm 0.5000 0.5000 0.0000

Computed properties:
Energy of formation from the pure elements: 276.1 meV per atom
Offset from the most stable computed form: 188 meV per atom
Total moment: 0.0 μB/cell
Uncorrected energy: -4.365 eV per atom

=====

Crystalline KZrCr2 at its relaxed geometry. Source: Alexandria, functional GGA-PBE.

abc: 7.6293 7.6293 7.6293
angles: 156.63 144.59 42.86
Fractional coordinates of all 4 atoms:
K 0.0000 0.0000 0.0000
Zr 0.2688 0.7688 0.5000
Cr 0.6673 0.6673 0.0000
Cr 0.7726 0.2726 0.5000

Computed properties:
Energy of formation from the pure elements: 864.0 meV per atom
Offset from the most stable computed form: 268 meV per atom
Total moment: 0.0 μB/cell
Uncorrected energy: -6.359 eV per atom

=====

Crystalline GaSn2Au4 at its relaxed geometry. Source: Alexandria, functional GGA-PBE.

abc: 7.8167 7.8167 7.8167
angles: 142.92 142.92 53.45
Fractional coordinates of all 7 atoms:
Ga 0.0000 0.0000 0.0000
Sn 0.3749 0.3749 0.0000
Sn 0.6251 0.6251 0.0000
Au 0.0000 0.5000 0.5000
Au 0.1831 0.1831 0.0000
Au 0.5000 0.0000 0.5000
Au 0.8169 0.8169 0.0000

Computed properties:
Energy of formation from the pure elements: 102.9 meV per atom
Total moment: 0.0 μB/cell
Uncorrected energy: -3.346 eV per atom

=====

Crystalline SbTe2Cl at its relaxed geometry. Source: Alexandria, functional GGA-PBE.

abc: 6.0896 6.0896 5.8494
angles: 103.00 103.00 41.70
Fractional coordinates of all 4 atoms:
Sb 0.0000 0.0000 0.0000
Te 0.4263 0.4263 0.6024
Te 0.6100 0.6100 0.3690
Cl 0.2046 0.2046 0.9361

Computed properties:
E_form (uncorrected): -258 meV/atom
Offset from the most stable computed form: 0 meV per atom
Total moment: 0.0 μB/cell
Uncorrected energy: -3.321 eV per atom

=====

Crystalline PtW2Se at its relaxed geometry. Source: Alexandria, functional GGA-PBE.

abc: 8.7901 8.7901 8.7901
angles: 19.13 19.13 19.13
Fractional coordinates of all 4 atoms:
Pt 0.0000 0.0000 0.0000
W 0.2466 0.2466 0.2466
W 0.7534 0.7534 0.7534
Se 0.5000 0.5000 0.5000

Computed properties:
E_form (uncorrected): 245 meV/atom
Total moment: 0.0 μB/cell
Uncorrected energy: -8.613 eV per atom

=====

Crystalline LiLaAl3 at its relaxed geometry. Source: Alexandria, functional GGA-PBE.

abc: 6.2821 6.2821 6.0080
angles: 90.00 90.00 117.78
Fractional coordinates of all 10 atoms:
Li 0.0976 0.9024 0.7500
Li 0.9024 0.0976 0.2500
La 0.2389 0.7611 0.2500
La 0.7611 0.2389 0.7500
Al 0.2874 0.2874 0.0000
Al 0.2874 0.2874 0.5000
Al 0.3374 0.6626 0.7500
Al 0.6626 0.3374 0.2500
Al 0.7126 0.7126 0.0000
Al 0.7126 0.7126 0.5000

Computed properties:
Energy of formation from the pure elements: -334.7 meV per atom
Offset from the most stable computed form: 0 meV per atom
Total moment: 0.0 μB/cell
Uncorrected energy: -3.948 eV per atom